# 1
{"formula": "Ca2In3Ag4", "functional": "PBE-GGA", "state": "relaxed", "dos_ef_per_ev_atom": 0.443, "magmom_total_mub_per_cell": 0.0, "mass_density_g_cm3": 7.0, "volume_a3_per_atom": 22.60, "dft_energy_ev_per_atom": -2.876, "polymorph_energy_ev_per_atom": 0.016, "lattice": [[4.337, -2.501, 0.000], [4.337, 2.501, 0.000], [-0.028, 0.000, 9.377]], "species": ["Ca", "Ca", "In", "In", "In", "Ag", "Ag", "Ag", "Ag"], "frac_coords": [[0.167, 0.167, 0.223], [0.833, 0.833, 0.777], [0.166, 0.166, 0.583], [0.500, 0.500, 0.000], [0.834, 0.834, 0.417], [0.166, 0.166, 0.902], [0.499, 0.499, 0.654], [0.501, 0.501, 0.346], [0.834, 0.834, 0.098]]}

# 2
{"formula": "Ca3In5Ag6", "functional": "PBE-GGA", "state": "relaxed", "dos_ef_per_ev_atom": 0.428, "magmom_total_mub_per_cell": 0.0, "mass_density_g_cm3": 6.7, "volume_a3_per_atom": 23.65, "dft_energy_ev_per_atom": -2.909, "lattice": [[-2.392, 4.899, 7.064], [2.392, -4.899, 7.064], [2.392, 4.899, -7.064]], "species": ["Ca", "Ca", "Ca", "In", "In", "In", "In", "In", "Ag", "Ag", "Ag", "Ag", "Ag", "Ag"], "frac_coords": [[0.000, 0.000, 0.000], [0.310, 0.310, 0.000], [0.690, 0.690, 0.000], [0.025, 0.675, 0.350], [0.325, 0.675, 0.650], [0.500, 0.000, 0.500], [0.675, 0.325, 0.350], [0.975, 0.325, 0.650], [0.153, 0.876, 0.277], [0.305, 0.500, 0.805], [0.401, 0.124, 0.277], [0.599, 0.876, 0.723], [0.695, 0.500, 0.195], [0.847, 0.124, 0.723]]}